[1]
Below is an optimized crystal structure of LiCo2As, with properties calculated at the PBE-GGA level.

Calculated values
space group	I-42d (122)
volume	13.69	Å³ per atom
density of states at the Fermi level	2.39	states/eV/f.u.
calculated density	6.057	g cm⁻³
energy of formation	236	meV/atom

Cell lengths 5.312, 5.312, 5.312 Å; angles 102.62, 102.62, 124.26 degrees
Sites, in units of the cell vectors:
Li 0.000 0.000 0.000
Li 0.750 0.250 0.500
Co 0.172 0.125 0.547
Co 0.375 0.828 0.953
Co 0.578 0.625 0.453
Co 0.875 0.422 0.047
As 0.250 0.750 0.500
As 0.500 0.500 0.000

---

[2]
Below is an optimized crystal structure of BaAsOs2, with properties calculated at the PBE-GGA level.

Calculated values
space group	Cmmm (65)
volume	20.31	Å³ per atom
density of states at the Fermi level	5.60	states/eV/f.u.
calculated density	12.115	g cm⁻³
energy of formation	1456	meV/atom

Cell lengths 5.365, 5.365, 3.076 Å; angles 90.00, 90.00, 113.45 degrees
Sites, in units of the cell vectors:
Ba 0.000 0.000 0.000
As 0.500 0.500 0.000
Os 0.000 0.500 0.500
Os 0.500 0.000 0.500

---

[3]
Below is an optimized crystal structure of TaCd4In, with properties calculated at the PBE-GGA level.

Calculated values
space group	F-43m (216)
volume	22.09	Å³ per atom
density of states at the Fermi level	4.29	states/eV/f.u.
calculated density	9.338	g cm⁻³
energy of formation	526	meV/atom

Cell lengths 5.723, 5.723, 5.723 Å; angles 60.00, 60.00, 60.00 degrees
Sites, in units of the cell vectors:
Ta 0.000 0.000 0.000
Cd 0.123 0.626 0.626
Cd 0.626 0.123 0.626
Cd 0.626 0.626 0.123
Cd 0.626 0.626 0.626
In 0.250 0.250 0.250

---

[4]
Below is an optimized crystal structure of Ta2SbRu, with properties calculated at the PBE-GGA level.

Calculated values
space group	F-43m (216)
volume	17.62	Å³ per atom
ΔE_f (raw)	0.55	eV/f.u.
density of states at the Fermi level	3.61	states/eV/f.u.
calculated density	13.778	g cm⁻³

Cell lengths 4.636, 4.636, 4.636 Å; angles 60.00, 60.00, 60.00 degrees
Sites, in units of the cell vectors:
Ta 0.000 0.000 0.000
Ta 0.250 0.250 0.250
Sb 0.500 0.500 0.500
Ru 0.750 0.750 0.750